# 1
Below is an optimized crystal structure of PrAlCdPd3, with properties calculated at the PBE-GGA level.

```
data_PrAlCdPd3
_space_group_name_H-M_alt 'P 1'
_space_group_IT_number 1
_space_group_name_Hall 'P 1'
_cell_length_a 5.878
_cell_length_b 7.121
_cell_length_c 7.083
_cell_angle_alpha 120.18
_cell_angle_beta 90.00
_cell_angle_gamma 90.00
loop_
_atom_site_label
_atom_site_type_symbol
_atom_site_fract_x
_atom_site_fract_y
_atom_site_fract_z
_atom_site_occupancy
Pr1 Pr 0.750 0.303 0.607 1
Pr2 Pr 0.250 0.697 0.393 1
Al1 Al 0.250 0.379 0.758 1
Al2 Al 0.750 0.621 0.242 1
Pd1 Pd 0.000 0.304 0.000 1
Pd2 Pd 0.500 0.304 0.000 1
Pd3 Pd 0.000 0.696 0.000 1
Pd4 Pd 0.250 0.180 0.360 1
Pd5 Pd 0.500 0.696 0.000 1
Pd6 Pd 0.750 0.820 0.640 1
Cd1 Cd 0.250 0.950 0.900 1
Cd2 Cd 0.750 0.050 0.100 1
```

Summary:
ΔE_f: -0.4696 eV per atom
total DFT energy (no corrections): -0.3409 Ry/atom
magnetic moment: 0.000 μB per formula unit

---

# 2
Below is an optimized crystal structure of Ac6TlTe3As2, with properties calculated at the PBE-GGA level.

```
data_Ac6TlTe3As2
_space_group_name_H-M_alt 'P 1'
_space_group_IT_number 1
_space_group_name_Hall 'P 1'
_cell_length_a 4.631
_cell_length_b 9.530
_cell_length_c 10.549
_cell_angle_alpha 103.68
_cell_angle_beta 102.68
_cell_angle_gamma 90.00
loop_
_atom_site_label
_atom_site_type_symbol
_atom_site_fract_x
_atom_site_fract_y
_atom_site_fract_z
_atom_site_occupancy
As1 As 0.169 0.337 0.338 1
As2 As 0.831 0.663 0.662 1
Ac1 Ac 0.328 0.431 0.655 1
Ac2 Ac 0.672 0.569 0.345 1
Ac3 Ac 0.334 0.899 0.668 1
Ac4 Ac 0.007 0.249 0.014 1
Ac5 Ac 0.993 0.751 0.986 1
Ac6 Ac 0.666 0.101 0.332 1
Te1 Te 0.500 0.500 0.000 1
Te2 Te 0.834 0.169 0.668 1
Te3 Te 0.166 0.831 0.332 1
Tl1 Tl 0.500 0.000 0.000 1
```

Summary:
total DFT energy (no corrections): -0.3776 Ry/atom
magnetic moment: 0.000 μB per formula unit
energy relative to the elements, uncorrected: -1.326 eV/atom

---

# 3
Below is an optimized crystal structure of SbOsRh4, with properties calculated at the PBE-GGA level.

```
data_SbOsRh4
_space_group_name_H-M_alt 'P 1'
_space_group_IT_number 1
_space_group_name_Hall 'P 1'
_cell_length_a 5.149
_cell_length_b 5.149
_cell_length_c 5.149
_cell_angle_alpha 60.00
_cell_angle_beta 60.00
_cell_angle_gamma 60.00
loop_
_atom_site_label
_atom_site_type_symbol
_atom_site_fract_x
_atom_site_fract_y
_atom_site_fract_z
_atom_site_occupancy
Rh1 Rh 0.626 0.626 0.123 1
Rh2 Rh 0.123 0.626 0.626 1
Rh3 Rh 0.626 0.626 0.626 1
Rh4 Rh 0.626 0.123 0.626 1
Os1 Os 0.000 0.000 0.000 1
Sb1 Sb 0.250 0.250 0.250 1
```

Summary:
total DFT energy (no corrections): -0.5076 Ry/atom
magnetic moment: 2.217 μB per formula unit
energy relative to the elements, uncorrected: 0.553 eV/atom

---

# 4
Below is an optimized crystal structure of CaIrBr, with properties calculated at the PBE-GGA level.

```
data_CaIrBr
_space_group_name_H-M_alt 'P 1'
_space_group_IT_number 1
_space_group_name_Hall 'P 1'
_cell_length_a 4.623
_cell_length_b 4.623
_cell_length_c 4.623
_cell_angle_alpha 60.00
_cell_angle_beta 60.00
_cell_angle_gamma 60.00
loop_
_atom_site_label
_atom_site_type_symbol
_atom_site_fract_x
_atom_site_fract_y
_atom_site_fract_z
_atom_site_occupancy
Ca1 Ca 0.750 0.750 0.750 1
Br1 Br 0.250 0.250 0.250 1
Ir1 Ir 0.500 0.500 0.500 1
```

Summary:
excess energy over the best structure of this formula in the dataset: 1189 meV/atom
total DFT energy (no corrections): -0.2985 Ry/atom
magnetic moment: 0.000 μB per formula unit
energy relative to the elements, uncorrected: 0.117 eV/atom